# La2Tb3Tl

A relaxed structure of La2Tb3Tl (PBE, Alexandria).

Calculated values
Space group: Cmmm
Magnetic moment in μB per formula unit: 0.00
Excess energy over the best structure of this formula in the dataset in eV per formula unit: 0.00
Density in Mg/m³: 8.384
Energy in eV for the cell shown: -26.65
ΔH_f (0 K) in kJ/mol of formula units: -52

a = 5.007 Å, b = 4.938 Å, c = 8.069 Å
α = 107.82°, β = 90.00°, γ = 90.00°
Positions (direct):
Tb 0.500 0.162 0.324
Tb 0.500 0.838 0.676
Tb 0.500 0.500 0.000
Tl 0.000 0.000 0.000
La 0.000 0.665 0.330
La 0.000 0.335 0.670

# La12Tb7Tl

A relaxed structure of La12Tb7Tl (PBE, Alexandria).

Calculated values
Space group: Im-3
Magnetic moment in μB per formula unit: 0.00
Density in Mg/m³: 6.151
Energy in eV for the cell shown: -82.13
ΔH_f (0 K) in kJ/mol of formula units: 1137

a = 10.152 Å, b = 10.152 Å, c = 10.152 Å
α = 109.47°, β = 109.47°, γ = 109.47°
Positions (direct):
La 0.773 0.231 0.004
La 0.769 0.996 0.227
La 0.769 0.542 0.773
La 0.996 0.227 0.769
La 0.231 0.004 0.773
La 0.773 0.769 0.542
La 0.004 0.773 0.231
La 0.227 0.769 0.996
La 0.227 0.231 0.458
La 0.542 0.773 0.769
La 0.231 0.458 0.227
La 0.458 0.227 0.231
Tb 0.500 0.000 0.500
Tb 0.000 0.500 0.000
Tb 0.500 0.000 0.000
Tb 0.500 0.500 0.000
Tb 0.500 0.500 0.500
Tb 0.000 0.500 0.500
Tb 0.000 0.000 0.500
Tl 0.000 0.000 0.000

# La6TbTl2

A relaxed structure of La6TbTl2 (PBE, Alexandria).

Calculated values
Space group: C2/m
Magnetic moment in μB per formula unit: 0.00
Density in Mg/m³: 7.592
Energy in eV for the cell shown: -40.48
ΔH_f (0 K) in kJ/mol of formula units: -150

a = 3.901 Å, b = 6.989 Å, c = 12.259 Å
α = 73.44°, β = 80.85°, γ = 73.79°
Positions (direct):
Tl 0.638 0.913 0.811
Tl 0.362 0.087 0.189
La 0.306 0.793 0.596
La 0.021 0.301 0.657
La 0.678 0.521 0.124
La 0.322 0.479 0.876
La 0.694 0.207 0.404
La 0.979 0.699 0.343
Tb 0.000 0.000 0.000

# La2Tb3Tl4

A relaxed structure of La2Tb3Tl4 (PBE, Alexandria).

Calculated values
Space group: Cmce
Magnetic moment in μB per formula unit: 0.00
Excess energy over the best structure of this formula in the dataset in eV per formula unit: 0.25
Density in Mg/m³: 9.248
Energy in eV for the cell shown: -71.46
ΔH_f (0 K) in kJ/mol of formula units: -243

a = 7.252 Å, b = 9.190 Å, c = 9.215 Å
α = 90.00°, β = 113.17°, γ = 90.00°
Positions (direct):
Tl 0.684 0.542 0.368
Tl 0.715 0.750 0.930
Tl 0.215 0.750 0.930
Tl 0.816 0.042 0.632
Tl 0.316 0.458 0.632
Tl 0.785 0.250 0.070
Tl 0.285 0.250 0.070
Tl 0.184 0.958 0.368
La 0.109 0.577 0.219
La 0.609 0.923 0.219
La 0.391 0.077 0.781
La 0.891 0.423 0.781
Tb 0.500 0.500 0.000
Tb 0.533 0.750 0.567
Tb 0.467 0.250 0.433
Tb 0.000 0.000 0.000
Tb 0.033 0.750 0.567
Tb 0.967 0.250 0.433

# LaTb2Tl

A relaxed structure of LaTb2Tl (PBE, Alexandria).

Calculated values
Space group: R3m
Magnetic moment in μB per formula unit: 0.00
Excess energy over the best structure of this formula in the dataset in eV per formula unit: 0.38
Density in Mg/m³: 8.480
Energy in eV for the cell shown: -16.93
ΔH_f (0 K) in kJ/mol of formula units: -36

a = 3.698 Å, b = 3.698 Å, c = 11.135 Å
α = 80.43°, β = 80.43°, γ = 60.01°
Positions (direct):
Tb 0.075 0.075 0.774
Tb 0.258 0.258 0.225
La 0.500 0.500 0.500
Tl 0.666 0.666 0.000

# La9TbTl2

A relaxed structure of La9TbTl2 (PBE, Alexandria).

Calculated values
Space group: P4/mmm
Magnetic moment in μB per formula unit: 0.00
Density in Mg/m³: 7.480
Energy in eV for the cell shown: -55.48
ΔH_f (0 K) in kJ/mol of formula units: -171

a = 5.097 Å, b = 5.097 Å, c = 15.532 Å
α = 90.00°, β = 90.00°, γ = 90.00°
Positions (direct):
La 0.000 0.500 0.500
La 0.000 0.500 0.829
La 0.500 0.500 0.000
La 0.500 0.500 0.663
La 0.000 0.500 0.171
La 0.500 0.000 0.171
La 0.500 0.500 0.337
La 0.500 0.000 0.829
La 0.500 0.000 0.500
Tl 0.000 0.000 0.663
Tl 0.000 0.000 0.337
Tb 0.000 0.000 0.000

# LaTb2Tl

A relaxed structure of LaTb2Tl (PBE, Alexandria).

Calculated values
Space group: P4/mmm
Magnetic moment in μB per formula unit: 0.01
Excess energy over the best structure of this formula in the dataset in eV per formula unit: 0.00
Density in Mg/m³: 9.111
Energy in eV for the cell shown: -17.30
ΔH_f (0 K) in kJ/mol of formula units: -72

a = 4.863 Å, b = 4.978 Å, c = 4.978 Å
α = 90.00°, β = 90.00°, γ = 90.00°
Positions (direct):
Tb 0.000 0.000 0.500
Tb 0.000 0.500 0.000
Tl 0.500 0.000 0.000
La 0.500 0.500 0.500

# LaTb6Tl2

A relaxed structure of LaTb6Tl2 (PBE, Alexandria).

Calculated values
Space group: I-42m
Magnetic moment in μB per formula unit: 0.00
Density in Mg/m³: 7.360
Energy in eV for the cell shown: -33.08
ΔH_f (0 K) in kJ/mol of formula units: 421

a = 5.701 Å, b = 5.701 Å, c = 11.174 Å
α = 104.78°, β = 104.78°, γ = 90.00°
Positions (direct):
Tb 0.261 0.873 0.134
Tb 0.739 0.739 0.866
Tb 0.873 0.261 0.134
Tb 0.250 0.750 0.500
Tb 0.750 0.250 0.500
Tb 0.127 0.127 0.866
Tl 0.192 0.192 0.385
Tl 0.808 0.808 0.615
La 0.500 0.500 0.000

# La5TbTl6

A relaxed structure of La5TbTl6 (PBE, Alexandria).

Calculated values
Space group: P-1
Magnetic moment in μB per formula unit: 0.00
Density in Mg/m³: 9.302
Energy in eV for the cell shown: -48.39
ΔH_f (0 K) in kJ/mol of formula units: -475

a = 5.599 Å, b = 9.679 Å, c = 9.674 Å
α = 60.22°, β = 73.51°, γ = 54.68°
Positions (direct):
Tl 0.240 0.921 0.677
Tl 0.269 0.232 0.000
Tl 0.760 0.079 0.323
Tl 0.731 0.768 0.000
Tl 0.760 0.402 0.677
Tl 0.240 0.598 0.323
La 0.000 0.337 0.326
La 0.000 0.663 0.674
La 0.500 0.500 0.000
La 0.500 0.826 0.349
La 0.500 0.174 0.651
Tb 0.000 0.000 0.000

# LaTbTl2

A relaxed structure of LaTbTl2 (PBE, Alexandria).

Calculated values
Space group: P4/mmm
Magnetic moment in μB per formula unit: 0.00
Density in Mg/m³: 9.955
Energy in eV for the cell shown: -15.88
ΔH_f (0 K) in kJ/mol of formula units: -153

a = 3.862 Å, b = 3.862 Å, c = 7.904 Å
α = 90.00°, β = 90.00°, γ = 90.00°
Positions (direct):
Tl 0.000 0.000 0.767
Tl 0.000 0.000 0.233
La 0.500 0.500 0.500
Tb 0.500 0.500 0.000

# LaTb4Tl

A relaxed structure of LaTb4Tl (PBE, Alexandria).

Calculated values
Space group: P4/mmm
Magnetic moment in μB per formula unit: 0.00
Excess energy over the best structure of this formula in the dataset in eV per formula unit: 0.00
Density in Mg/m³: 8.554
Energy in eV for the cell shown: -26.42
ΔH_f (0 K) in kJ/mol of formula units: -58

a = 3.647 Å, b = 3.647 Å, c = 14.286 Å
α = 90.00°, β = 90.00°, γ = 90.00°
Positions (direct):
Tb 0.000 0.000 0.354
Tb 0.000 0.000 0.646
Tb 0.500 0.500 0.819
Tb 0.500 0.500 0.181
Tl 0.500 0.500 0.500
La 0.000 0.000 0.000

# LaTb9Tl2

A relaxed structure of LaTb9Tl2 (PBE, Alexandria).

Calculated values
Space group: P4/mmm
Magnetic moment in μB per formula unit: 0.00
Density in Mg/m³: 9.025
Energy in eV for the cell shown: -52.51
ΔH_f (0 K) in kJ/mol of formula units: -114

a = 4.891 Å, b = 4.891 Å, c = 15.215 Å
α = 90.00°, β = 90.00°, γ = 90.00°
Positions (direct):
Tb 0.500 0.500 0.660
Tb 0.500 0.000 0.500
Tb 0.000 0.500 0.176
Tb 0.500 0.000 0.824
Tb 0.500 0.000 0.176
Tb 0.500 0.500 0.340
Tb 0.000 0.500 0.500
Tb 0.000 0.500 0.824
Tb 0.500 0.500 0.000
Tl 0.000 0.000 0.660
Tl 0.000 0.000 0.340
La 0.000 0.000 0.000

# LaTb2Tl9

A relaxed structure of LaTb2Tl9 (PBE, Alexandria).

Calculated values
Space group: P4/mmm
Magnetic moment in μB per formula unit: 0.00
Density in Mg/m³: 11.401
Energy in eV for the cell shown: -38.93
ΔH_f (0 K) in kJ/mol of formula units: -333

a = 4.816 Å, b = 4.816 Å, c = 14.417 Å
α = 90.00°, β = 90.00°, γ = 90.00°
Positions (direct):
La 0.000 0.000 0.000
Tl 0.000 0.500 0.828
Tl 0.000 0.500 0.500
Tl 0.500 0.000 0.828
Tl 0.500 0.500 0.665
Tl 0.500 0.500 0.335
Tl 0.500 0.000 0.172
Tl 0.500 0.000 0.500
Tl 0.500 0.500 0.000
Tl 0.000 0.500 0.172
Tb 0.000 0.000 0.663
Tb 0.000 0.000 0.337

# LaTb2Tl2

A relaxed structure of LaTb2Tl2 (PBE, Alexandria).

Calculated values
Space group: P6_3/mmc
Magnetic moment in μB per formula unit: 0.16
Excess energy over the best structure of this formula in the dataset in eV per formula unit: 0.99
Density in Mg/m³: 9.381
Energy in eV for the cell shown: -37.72
ΔH_f (0 K) in kJ/mol of formula units: 6

a = 5.220 Å, b = 5.220 Å, c = 12.984 Å
α = 90.00°, β = 90.00°, γ = 120.00°
Positions (direct):
Tb 0.333 0.667 0.250
Tb 0.000 0.000 0.500
Tb 0.667 0.333 0.750
Tb 0.000 0.000 0.000
La 0.000 0.000 0.250
La 0.000 0.000 0.750
Tl 0.333 0.667 0.625
Tl 0.667 0.333 0.375
Tl 0.333 0.667 0.875
Tl 0.667 0.333 0.125

# La2TbTl2

A relaxed structure of La2TbTl2 (PBE, Alexandria).

Calculated values
Space group: Immm
Magnetic moment in μB per formula unit: 0.00
Excess energy over the best structure of this formula in the dataset in eV per formula unit: 0.09
Density in Mg/m³: 8.717
Energy in eV for the cell shown: -20.79
ΔH_f (0 K) in kJ/mol of formula units: -152

a = 5.041 Å, b = 6.235 Å, c = 6.235 Å
α = 71.30°, β = 66.16°, γ = 66.16°
Positions (direct):
La 0.815 0.685 0.685
La 0.185 0.315 0.315
Tb 0.000 0.000 0.000
Tl 0.500 0.276 0.724
Tl 0.500 0.724 0.276

# La5Tb12Tl2

A relaxed structure of La5Tb12Tl2 (PBE, Alexandria).

Calculated values
Space group: C2/m
Magnetic moment in μB per formula unit: 0.00
Density in Mg/m³: 7.997
Energy in eV for the cell shown: -84.76
ΔH_f (0 K) in kJ/mol of formula units: 17

a = 9.393 Å, b = 12.219 Å, c = 8.532 Å
α = 131.83°, β = 90.00°, γ = 112.61°
Positions (direct):
Tb 0.447 0.894 0.218
Tb 0.818 0.251 0.585
Tb 0.566 0.749 0.415
Tb 0.039 0.713 0.951
Tb 0.326 0.287 0.049
Tb 0.923 0.846 0.729
Tb 0.182 0.749 0.415
Tb 0.434 0.251 0.585
Tb 0.077 0.154 0.271
Tb 0.674 0.713 0.951
Tb 0.961 0.287 0.049
Tb 0.553 0.106 0.782
La 0.306 0.612 0.621
La 0.766 0.532 0.112
La 0.694 0.388 0.379
La 0.000 0.000 0.500
La 0.234 0.468 0.888
Tl 0.316 0.000 0.000
Tl 0.684 0.000 0.000

# La5TbTl2

A relaxed structure of La5TbTl2 (PBE, Alexandria).

Calculated values
Space group: P6_3/mmc
Magnetic moment in μB per formula unit: 0.00
Density in Mg/m³: 7.318
Energy in eV for the cell shown: -69.76
ΔH_f (0 K) in kJ/mol of formula units: -85

a = 5.670 Å, b = 5.670 Å, c = 20.578 Å
α = 90.00°, β = 90.00°, γ = 120.00°
Positions (direct):
La 0.000 0.000 0.839
La 0.667 0.333 0.437
La 0.667 0.333 0.063
La 0.667 0.333 0.250
La 0.333 0.667 0.563
La 0.000 0.000 0.339
La 0.333 0.667 0.937
La 0.000 0.000 0.661
La 0.000 0.000 0.161
La 0.333 0.667 0.750
Tl 0.667 0.333 0.903
Tl 0.333 0.667 0.403
Tl 0.333 0.667 0.097
Tl 0.667 0.333 0.597
Tb 0.333 0.667 0.250
Tb 0.667 0.333 0.750

# LaTb3Tl3

A relaxed structure of LaTb3Tl3 (PBE, Alexandria).

Calculated values
Space group: P2_13
Magnetic moment in μB per formula unit: 0.00
Excess energy over the best structure of this formula in the dataset in eV per formula unit: 0.01
Density in Mg/m³: 9.572
Energy in eV for the cell shown: -111.29
ΔH_f (0 K) in kJ/mol of formula units: -184

a = 9.483 Å, b = 9.483 Å, c = 9.483 Å
α = 90.00°, β = 90.00°, γ = 90.00°
Positions (direct):
Tb 0.917 0.917 0.917
Tb 0.181 0.181 0.181
Tb 0.822 0.322 0.178
Tb 0.678 0.678 0.678
Tb 0.583 0.083 0.417
Tb 0.319 0.819 0.681
Tb 0.819 0.681 0.319
Tb 0.083 0.417 0.583
Tb 0.417 0.583 0.083
Tb 0.322 0.178 0.822
Tb 0.681 0.319 0.819
Tb 0.178 0.822 0.322
Tl 0.239 0.887 0.000
Tl 0.761 0.387 0.500
Tl 0.613 0.000 0.739
Tl 0.113 0.500 0.261
Tl 0.000 0.739 0.613
Tl 0.500 0.761 0.387
Tl 0.500 0.261 0.113
Tl 0.887 0.000 0.239
Tl 0.387 0.500 0.761
Tl 0.000 0.239 0.887
Tl 0.261 0.113 0.500
Tl 0.739 0.613 0.000
La 0.429 0.429 0.429
La 0.929 0.071 0.571
La 0.071 0.571 0.929
La 0.571 0.929 0.071

# La2Tb3Tl3

A relaxed structure of La2Tb3Tl3 (PBE, Alexandria).

Calculated values
Space group: Immm
Magnetic moment in μB per formula unit: 0.00
Excess energy over the best structure of this formula in the dataset in eV per formula unit: 0.02
Density in Mg/m³: 9.397
Energy in eV for the cell shown: -32.90
ΔH_f (0 K) in kJ/mol of formula units: -198

a = 3.829 Å, b = 5.435 Å, c = 12.079 Å
α = 103.00°, β = 99.12°, γ = 90.00°
Positions (direct):
Tb 0.620 0.620 0.240
Tb 0.500 0.000 0.000
Tb 0.380 0.380 0.760
La 0.733 0.233 0.466
La 0.267 0.767 0.534
Tl 0.115 0.115 0.230
Tl 0.000 0.500 0.000
Tl 0.885 0.885 0.770

# La3Tb4Tl

A relaxed structure of La3Tb4Tl (PBE, Alexandria).

Calculated values
Space group: P4/mmm
Magnetic moment in μB per formula unit: 0.00
Excess energy over the best structure of this formula in the dataset in eV per formula unit: 0.62
Density in Mg/m³: 8.043
Energy in eV for the cell shown: -35.68
ΔH_f (0 K) in kJ/mol of formula units: -1

a = 4.199 Å, b = 4.199 Å, c = 14.717 Å
α = 90.00°, β = 90.00°, γ = 90.00°
Positions (direct):
Tb 0.000 0.000 0.891
Tb 0.000 0.000 0.633
Tb 0.000 0.000 0.367
Tb 0.000 0.000 0.109
La 0.500 0.500 0.755
La 0.500 0.500 0.500
La 0.500 0.500 0.245
Tl 0.500 0.500 0.000